# 1
# CePuGaGe | Alexandria via LeMat-Bulk | PBE | optimized geometry
# Magnetization (μB/f.u.): 6.1
# Space group: F-43m
# Energy of formation from the pure elements (kJ/mol of atoms): -39.64
data_CePuGaGe
_chemical_formula_sum 'Ce1 Pu1 Ga1 Ge1'
_cell_length_a 5.078
_cell_length_b 5.078
_cell_length_c 5.078
_cell_angle_alpha 60.00
_cell_angle_beta 60.00
_cell_angle_gamma 60.00
_space_group_name_H-M_alt 'P 1'
_space_group_IT_number 1
_space_group_name_Hall 'P 1'
loop_
_atom_site_label
_atom_site_type_symbol
_atom_site_fract_x
_atom_site_fract_y
_atom_site_fract_z
Ce1 Ce 0.500 0.500 0.500
Ga1 Ga 0.250 0.250 0.250
Ge1 Ge 0.750 0.750 0.750
Pu1 Pu 0.000 0.000 0.000


# 2
# Hf2TcNi2 | Alexandria via LeMat-Bulk | PBE | optimized geometry
# Magnetization (μB/f.u.): 0.0
# Space group: P4/mbm
# Energy of formation from the pure elements (kJ/mol of atoms): -30.44
data_Hf2TcNi2
_chemical_formula_sum 'Hf4 Tc2 Ni4'
_cell_length_a 6.711
_cell_length_b 6.711
_cell_length_c 3.505
_cell_angle_alpha 90.00
_cell_angle_beta 90.00
_cell_angle_gamma 90.00
_space_group_name_H-M_alt 'P 1'
_space_group_IT_number 1
_space_group_name_Hall 'P 1'
loop_
_atom_site_label
_atom_site_type_symbol
_atom_site_fract_x
_atom_site_fract_y
_atom_site_fract_z
Ni1 Ni 0.622 0.122 0.000
Hf1 Hf 0.319 0.181 0.500
Ni2 Ni 0.122 0.378 0.000
Hf2 Hf 0.181 0.681 0.500
Hf3 Hf 0.681 0.819 0.500
Ni3 Ni 0.878 0.622 0.000
Tc1 Tc 0.500 0.500 0.000
Tc2 Tc 0.000 0.000 0.000
Hf4 Hf 0.819 0.319 0.500
Ni4 Ni 0.378 0.878 0.000


# 3
# YCdNi | Alexandria via LeMat-Bulk | PBE | optimized geometry
# Magnetization (μB/f.u.): 0.0
# Space group: F-43m
# Energy of formation from the pure elements (kJ/mol of atoms): -21.48
data_YCdNi
_chemical_formula_sum 'Y1 Cd1 Ni1'
_cell_length_a 4.570
_cell_length_b 4.570
_cell_length_c 4.570
_cell_angle_alpha 60.00
_cell_angle_beta 60.00
_cell_angle_gamma 60.00
_space_group_name_H-M_alt 'P 1'
_space_group_IT_number 1
_space_group_name_Hall 'P 1'
loop_
_atom_site_label
_atom_site_type_symbol
_atom_site_fract_x
_atom_site_fract_y
_atom_site_fract_z
Cd1 Cd 0.500 0.500 0.500
Y1 Y 0.000 0.000 0.000
Ni1 Ni 0.750 0.750 0.750


The electronic total energy results, record by record, are as follows: -7.388; -8.683; -4.610 eV/atom.